A geometry-optimized KPuSeO5 structure, computed with PBE.

abc: 6.863 10.598 7.972
angles: 90.00 95.53 90.00
Space group C2/c (No. 15)
One atom of each set of equivalent atoms:
K  0.000  0.155  0.250 x4
Pu  0.000  0.500  0.000 x4
Se  0.000  0.199  0.750 x4
O  0.000  0.430  0.250 x4
O  0.094  0.296  0.606 x8
O  0.238  0.042  0.003 x8

A geometry-optimized CaEr2Te4 structure, computed with PBE.

abc: 8.802 8.917 12.278
angles: 90.00 90.00 90.00
Space group Imma (No. 74)
One atom of each set of equivalent atoms:
Ca  0.000  0.000  0.000 x4
Er  0.000  0.000  0.500 x4
Er  0.250  0.250  0.250 x4
Te  0.000  0.009  0.254 x8
Te  0.242  0.250  0.503 x8

## Properties
The calculation puts the energy above the lowest structure with this stoichiometry at 3 meV/atom.

A geometry-optimized CuHg2Pd9 structure, computed with PBE.

abc: 4.011 4.011 11.987
angles: 90.00 90.00 90.00
Space group P4/mmm (No. 123)
One atom of each set of equivalent atoms:
Cu  0.000  0.000  0.000 x1
Hg  0.000  0.000  0.328 x2
Pd  0.000  0.500  0.155 x4
Pd  0.000  0.500  0.500 x2
Pd  0.500  0.500  0.000 x1
Pd  0.500  0.500  0.326 x2

## Properties
The calculation puts the formation energy at -77 meV/atom.

A geometry-optimized SmCo6P4 structure, computed with PBE.

abc: 6.5514 6.5514 3.5578
angles: 90.00 90.00 120.00
Space group P-6m2 (No. 187)
One atom of each set of equivalent atoms:
Sm  0.0000  0.0000  0.0000 x1
Co  0.2035  0.4070  0.5000 x3
Co  0.5341  0.0683  0.0000 x3
P  0.3333  0.6667  0.0000 x1
P  0.3864  0.1932  0.5000 x3

## Properties
The calculation puts the formation energy at -742 meV/atom.

A geometry-optimized H3PtPb structure, computed with PBE.

abc: 4.011 4.011 4.011
angles: 90.00 90.00 90.00
Space group Pm-3m (No. 221)
One atom of each set of equivalent atoms:
H  0.000  0.000  0.500 x3
Pt  0.500  0.500  0.500 x1
Pb  0.000  0.000  0.000 x1

## Properties
The calculation puts the energy above the lowest structure with this stoichiometry at 1075 meV/atom.

A geometry-optimized Pr6P2N3Cl structure, computed with PBE.

abc: 17.298 3.874 8.012
angles: 90.00 105.96 90.00
Space group C2/m (No. 12)
One atom of each set of equivalent atoms:
Pr  0.010  0.000  0.218 x4
Pr  0.163  0.500  0.095 x4
Pr  0.178  0.500  0.568 x4
P  0.162  0.000  0.825 x4
N  0.000  0.500  0.000 x2
N  0.169  0.000  0.337 x4
Cl  0.000  0.500  0.500 x2

A geometry-optimized K2CaMo structure, computed with PBE.

abc: 5.006 5.006 6.374
angles: 90.00 90.00 90.00
Space group P4/mmm (No. 123)
One atom of each set of equivalent atoms:
K  0.000  0.500  0.000 x2
Ca  0.000  0.000  0.500 x1
Mo  0.500  0.500  0.500 x1

## Properties
The calculation puts the energy above the lowest structure with this stoichiometry at 185 meV/atom. The calculation puts the formation energy at 1130 meV/atom.

A geometry-optimized CaTb3Pm8 structure, computed with PBE.

abc: 3.632 9.890 11.687
angles: 93.04 98.93 90.03
Space group P1 (No. 1)
One atom of each set of equivalent atoms:
Ca  0.000  0.000  0.000 x1
Tb  0.368  0.832  0.739 x1
Tb  0.634  0.160  0.269 x1
Tb  0.744  0.679  0.489 x1
Pm  0.113  0.475  0.229 x1
Pm  0.129  0.827  0.259 x1
Pm  0.248  0.005  0.495 x1
Pm  0.257  0.358  0.514 x1
Pm  0.487  0.325  0.977 x1
Pm  0.510  0.672  0.020 x1
Pm  0.861  0.163  0.726 x1
Pm  0.883  0.522  0.768 x1

## Properties
The calculation puts the formation energy at 52 meV/atom.

A geometry-optimized ScAgTe2 structure, computed with PBE.

abc: 4.2635 4.2635 25.4953
angles: 90.00 90.00 120.00
Space group R-3m (No. 166, hexagonal axes)
One atom of each set of equivalent atoms:
Sc  0.0000  0.0000  0.0000 x3
Ag  0.0000  0.0000  0.5000 x3
Te  0.0000  0.0000  0.3961 x6

A geometry-optimized Nd5YEr structure, computed with PBE.

abc: 16.607 6.681 10.915
angles: 90.00 126.36 90.00
Space group C2/c (No. 15)
One atom of each set of equivalent atoms:
Nd  0.000  0.012  0.250 x4
Nd  0.092  0.249  0.595 x8
Nd  0.172  0.252  0.089 x8
Y  0.000  0.486  0.250 x4
Er  0.250  0.250  0.500 x4

## Properties
The calculation puts the energy above the lowest structure with this stoichiometry at 0 meV/atom. The calculation puts the formation energy at 153 meV/atom.

A geometry-optimized NaBeIn2H structure, computed with PBE.

abc: 5.628 5.628 3.558
angles: 90.00 90.00 90.00
Space group P4/mmm (No. 123)
One atom of each set of equivalent atoms:
Na  0.000  0.000  0.000 x1
Be  0.500  0.500  0.500 x1
In  0.000  0.500  0.000 x2
H  0.000  0.000  0.500 x1

A geometry-optimized NdTl3Sn2Te6 structure, computed with PBE.

abc: 7.868 13.620 8.289
angles: 90.00 108.49 90.00
Space group C2/m (No. 12)
One atom of each set of equivalent atoms:
Nd  0.000  0.000  0.000 x2
Tl  0.000  0.163  0.500 x4
Tl  0.000  0.500  0.500 x2
Sn  0.000  0.333  0.000 x4
Te  0.234  0.500  0.219 x4
Te  0.243  0.169  0.222 x8

A geometry-optimized Ac2SmIn structure, computed with PBE.

abc: 7.141 5.588 7.535
angles: 90.00 103.98 90.00
Space group P2_1/m (No. 11)
One atom of each set of equivalent atoms:
Ac  0.158  0.250  0.417 x2
Ac  0.159  0.250  0.916 x2
Sm  0.393  0.750  0.223 x2
In  0.370  0.750  0.718 x2

## Properties
The calculation puts the energy above the lowest structure with this stoichiometry at 11 meV/atom. The calculation puts the formation energy at -191 meV/atom.

A geometry-optimized PmPr4Pb5 structure, computed with PBE.

abc: 4.216 4.216 17.366
angles: 90.00 90.00 90.00
Space group P4/mmm (No. 123)
One atom of each set of equivalent atoms:
Pm  0.000  0.000  0.000 x1
Pr  0.000  0.000  0.199 x2
Pr  0.000  0.000  0.400 x2
Pb  0.500  0.500  0.098 x2
Pb  0.500  0.500  0.300 x2
Pb  0.500  0.500  0.500 x1

## Properties
The calculation puts the energy above the lowest structure with this stoichiometry at 0 meV/atom. The calculation puts the formation energy at -499 meV/atom.

A geometry-optimized Ac2GeAs3Pt4 structure, computed with PBE.

abc: 4.518 4.518 10.212
angles: 90.00 90.00 90.00
Space group P-4m2 (No. 115)
One atom of each set of equivalent atoms:
Ac  0.000  0.500  0.247 x2
Ge  0.000  0.000  0.500 x1
As  0.000  0.500  0.868 x2
As  0.500  0.500  0.500 x1
Pt  0.000  0.000  0.000 x1
Pt  0.000  0.500  0.620 x2
Pt  0.500  0.500  0.000 x1

## Properties
The calculation puts the formation energy at -933 meV/atom.

A geometry-optimized PrCuBi structure, computed with PBE.

abc: 6.292 6.310 8.454
angles: 90.00 111.43 90.00
Space group Cc (No. 9)
One atom of each set of equivalent atoms:
Pr  0.000  0.129  0.000 x4
Cu  0.465  0.174  0.838 x4
Bi  0.078  0.370  0.669 x4

## Properties
The calculation puts the formation energy at -491 meV/atom.

A geometry-optimized KNd2Te4 structure, computed with PBE.

abc: 4.5523 4.5523 46.1450
angles: 90.00 90.00 120.00
Space group R-3m (No. 166, hexagonal axes)
One atom of each set of equivalent atoms:
K  0.0000  0.0000  0.0000 x3
Nd  0.0000  0.0000  0.0938 x6
Te  0.0000  0.0000  0.2023 x6
Te  0.0000  0.0000  0.3866 x6

A geometry-optimized K2LaSc structure, computed with PBE.

abc: 3.621 7.224 13.835
angles: 90.00 90.00 90.00
Space group Imm2 (No. 44)
One atom of each set of equivalent atoms:
K  0.000  0.000  0.000 x2
K  0.000  0.500  0.229 x2
La  0.000  0.500  0.783 x2
Sc  0.000  0.000  0.472 x2

## Properties
The calculation puts the energy above the lowest structure with this stoichiometry at 280 meV/atom. The calculation puts the formation energy at 585 meV/atom.

A geometry-optimized CoPdC3 structure, computed with PBE.

abc: 3.730 3.730 3.730
angles: 90.00 90.00 90.00
Space group Pm-3m (No. 221)
One atom of each set of equivalent atoms:
Co  0.000  0.000  0.000 x1
Pd  0.500  0.500  0.500 x1
C  0.000  0.000  0.500 x3

## Properties
The calculation puts the energy above the lowest structure with this stoichiometry at 0 meV/atom. The calculation puts the formation energy at 2029 meV/atom.

A geometry-optimized Na2NiPS4 structure, computed with PBE.

abc: 5.800 12.009 21.703
angles: 90.00 90.00 90.00
Space group Fddd (No. 70, origin choice 2)
One atom of each set of equivalent atoms:
Na  0.125  0.125  0.317 x16
Ni  0.125  0.125  0.125 x8
P  0.125  0.125  0.625 x8
S  0.094  0.273  0.826 x32

In order of appearance, M_tot = 3.030 0.000 0.000 0.001 0.000 0.000 4.283 0.001 0.000 0.000 0.000 0.000 0.000 0.656 0.000 0.000 0.000 0.867 0.000 1.003 μB per formula unit.
In order of appearance, VASP energy = -233.5 -135.4 -52.4 -77.2 -14.3 -166.3 -10.5 -53.3 -55.0 -135.2 -9.5 -89.5 -32.9 -47.4 -60.3 -56.9 -94.5 -22.2 -29.8 -273.3 eV per cell.